Record 1
First-principles (PBE) data for a relaxed structure of ThGeHPt, as listed in the Alexandria database.

abc: 4.421 4.422 3.978
angles: 90.00 90.00 120.00
Fractional coordinates of all 4 atoms:
1 Th 0.905 0.810 0.805
2 Ge 0.572 0.144 0.340
3 H 0.239 0.477 0.816
4 Pt 0.239 0.477 0.277

Results
**Uncorrected energy**: -6.243 eV/atom
**Size of the total moment**: 0.00 μB per cell
**Space group**: P3m1, No. 156

Record 2
First-principles (PBE) data for a relaxed structure of Mo2PbCl, as listed in the Alexandria database.

abc: 4.768 4.768 4.768
angles: 60.00 60.00 60.00
Fractional coordinates of all 4 atoms:
1 Mo 0.000 0.000 0.000
2 Mo 0.250 0.250 0.250
3 Pb 0.750 0.750 0.750
4 Cl 0.500 0.500 0.500

Results
**Energy above the lowest structure with this stoichiometry**: 929 meV per atom
**Size of the total moment**: 0.92 μB per cell
**Formation energy from raw total energies**: 995 meV per atom
**Space group**: F-43m, No. 216

Record 3
First-principles (PBE) data for a relaxed structure of LiY2PN, as listed in the Alexandria database.

abc: 4.703 4.703 3.935
angles: 90.00 90.00 90.00
Fractional coordinates of all 5 atoms:
1 Y 0.000 0.500 0.000
2 Y 0.500 0.000 0.000
3 P 0.500 0.500 0.500
4 N 0.000 0.000 0.000
5 Li 0.000 0.000 0.500

Results
**Size of the total moment**: 0.00 μB per cell
**Formation energy from raw total energies**: -1150 meV per atom
**Space group**: P4/mmm, No. 123

Record 4
First-principles (PBE) data for a relaxed structure of PuHfPa2, as listed in the Alexandria database.

abc: 6.285 6.285 5.412
angles: 64.72 64.72 29.14
Fractional coordinates of all 4 atoms:
1 Hf 0.494 0.494 0.505
2 Pu 0.738 0.738 0.762
3 Pa 0.009 0.009 0.991
4 Pa 0.259 0.259 0.242

Results
**Energy above the lowest structure with this stoichiometry**: 19 meV per atom
**Size of the total moment**: 4.93 μB per cell
**Space group**: Cm, No. 8
**DFT formation energy**: 0.094 eV/atom

Record 5
First-principles (PBE) data for a relaxed structure of LiZn3Cd, as listed in the Alexandria database.

abc: 4.597 4.597 4.597
angles: 90.00 90.00 90.00
Fractional coordinates of all 5 atoms:
1 Zn 0.000 0.500 0.000
2 Zn 0.000 0.000 0.500
3 Zn 0.500 0.000 0.000
4 Cd 0.500 0.500 0.500
5 Li 0.000 0.000 0.000

Results
**Energy above the lowest structure with this stoichiometry**: 428 meV per atom
**Size of the total moment**: 0.00 μB per cell
**Space group**: Pm-3m, No. 221
**DFT formation energy**: 0.349 eV/atom

Record 6
First-principles (PBE) data for a relaxed structure of MgSbBr, as listed in the Alexandria database.

abc: 4.989 4.989 3.488
angles: 90.00 90.00 120.00
Fractional coordinates of all 3 atoms:
1 Mg 0.667 0.333 0.171
2 Br 0.000 0.000 0.164
3 Sb 0.333 0.667 0.665

Results
**Energy above the lowest structure with this stoichiometry**: 557 meV per atom
**Size of the total moment**: 0.00 μB per cell
**Formation energy from raw total energies**: -118 meV per atom
**Space group**: P3m1, No. 156